Rb2HgAs2O6: optimized geometry, PBE-GGA. Values from VASP.

```
&SYSTEM
  ibrav = 0, nat = 11, ntyp = 4
/
ATOMIC_SPECIES
Rb 85.47 Rb.upf
Hg 200.59 Hg.upf
As 74.92 As.upf
O 16.00 O.upf
CELL_PARAMETERS angstrom
6.1155 -2.9062 0.0000
6.1155 2.9062 0.0000
-2.8414 0.0000 6.1937
ATOMIC_POSITIONS angstrom
Rb 2.0529 0.0000 1.2201
Rb 7.3366 0.0000 4.9737
Hg -1.4207 0.0000 3.0969
As 3.6124 0.0000 4.9810
As 5.7771 0.0000 1.2127
O 4.7693 1.4134 1.3482
O 4.6202 1.4134 4.8456
O 2.2111 0.0000 4.0381
O 7.1784 0.0000 2.1557
O 4.7693 -1.4134 1.3482
O 4.6202 -1.4134 4.8456
```

Output
E = -4.983 eV per atom
energy relative to the elements, uncorrected = -1.230 eV per atom
total moment = 0.000 μB/atom
crystal system = monoclinic